(1)
TaTlIr2: optimized geometry, PBEsol.

Calculated values
Its crystal system is cubic. The calculation puts the total magnetization at 0.00 μB/f.u. The space-group type is F-43m. The value obtained for the formation energy is 0.378 eV/atom.

abc: 4.542 4.542 4.542
angles: 60.00 60.00 60.00
Element x y z (fractional)
Ir (0.750, 0.750, 0.750)
Ir (0.000, 0.000, 0.000)
Ta (0.500, 0.500, 0.500)
Tl (0.250, 0.250, 0.250)

=====

(2)
TaTl2Ir: optimized geometry, PBEsol.

Calculated values
Its crystal system is tetragonal. The calculation puts the total magnetization at 0.00 μB/f.u. The space-group type is P4/mmm. The value obtained for the formation energy is 0.685 eV/atom.

abc: 3.139 4.872 4.872
angles: 90.00 90.00 90.00
Element x y z (fractional)
Ta (0.500, 0.000, 0.000)
Tl (0.000, 0.500, 0.000)
Tl (0.000, 0.000, 0.500)
Ir (0.500, 0.500, 0.500)

=====

(3)
TaTl3Ir: optimized geometry, PBEsol.

Calculated values
Its crystal system is cubic. The calculation puts the total magnetization at 1.24 μB/f.u. The space-group type is Pm-3m. The value obtained for the formation energy is 1.823 eV/atom.

abc: 5.276 5.276 5.276
angles: 90.00 90.00 90.00
Element x y z (fractional)
Ir (0.500, 0.500, 0.500)
Tl (0.000, 0.000, 0.500)
Tl (0.000, 0.500, 0.000)
Tl (0.500, 0.000, 0.000)
Ta (0.000, 0.000, 0.000)

=====

(4)
TaTl2Ir: optimized geometry, PBEsol.

Calculated values
Its crystal system is monoclinic. The calculation puts the total magnetization at 0.00 μB/f.u. The space-group type is Pm. The value obtained for the formation energy is 0.102 eV/atom.

abc: 3.000 3.185 8.757
angles: 90.00 99.86 90.00
Element x y z (fractional)
Tl (0.169, 0.000, 0.965)
Tl (0.335, 0.500, 0.289)
Ta (0.540, 0.500, 0.707)
Ir (0.956, 0.000, 0.539)

=====

(5)
TaTlIr2: optimized geometry, PBEsol.

Calculated values
Its crystal system is tetragonal. The calculation puts the total magnetization at 0.00 μB/f.u. The space-group type is P4/mmm. The value obtained for the formation energy is 0.180 eV/atom.

abc: 2.943 4.767 4.767
angles: 90.00 90.00 90.00
Element x y z (fractional)
Ir (0.000, 0.500, 0.000)
Ir (0.000, 0.000, 0.500)
Ta (0.500, 0.500, 0.500)
Tl (0.500, 0.000, 0.000)

=====

(6)
TaTl2Ir: optimized geometry, PBEsol.

Calculated values
Its crystal system is orthorhombic. The calculation puts the total magnetization at 0.00 μB/f.u. The space-group type is Immm. The value obtained for the formation energy is 0.497 eV/atom.

abc: 3.034 5.148 5.726
angles: 116.70 105.36 90.00
Element x y z (fractional)
Tl (0.763, 0.763, 0.525)
Tl (0.237, 0.237, 0.475)
Ta (0.000, 0.500, 0.000)
Ir (0.500, 0.000, 0.000)

=====

(7)
TaTlIr3: optimized geometry, PBEsol.

Calculated values
Its crystal system is cubic. The calculation puts the total magnetization at 0.00 μB/f.u. The space-group type is Pm-3m. The value obtained for the formation energy is 1.495 eV/atom.

abc: 4.772 4.772 4.772
angles: 90.00 90.00 90.00
Element x y z (fractional)
Tl (0.500, 0.500, 0.500)
Ir (0.500, 0.000, 0.000)
Ir (0.000, 0.500, 0.000)
Ir (0.000, 0.000, 0.500)
Ta (0.000, 0.000, 0.000)

=====

(8)
TaTl2Ir: optimized geometry, PBEsol.

Calculated values
Its crystal system is trigonal. The calculation puts the total magnetization at 0.00 μB/f.u. The space-group type is R-3m. The value obtained for the formation energy is 0.588 eV/atom.

abc: 3.084 3.084 9.332
angles: 80.49 80.49 60.00
Element x y z (fractional)
Tl (0.754, 0.754, 0.738)
Tl (0.246, 0.246, 0.262)
Ta (0.000, 0.000, 0.000)
Ir (0.500, 0.500, 0.500)